Record 1
{
  "formula": "Pr3Tl",
  "functional": "GGA-PBE",
  "state": "relaxed",
  "ef_ev_per_atom": -0.057,
  "crystal_system": "cubic",
  "lattice": [[8.0254, 0.0000, 0.0000], [0.0000, 8.0254, 0.0000], [0.0000, 0.0000, 8.0254]],
  "species": ["Pr", "Pr", "Pr", "Pr", "Pr", "Pr", "Pr", "Pr", "Pr", "Pr", "Pr", "Pr", "Tl", "Tl", "Tl", "Tl"],
  "fractional_positions": [[0.0000, 0.0000, 0.0000], [0.0000, 0.5000, 0.5000], [0.2500, 0.2500, 0.2500], [0.2500, 0.2500, 0.7500], [0.2500, 0.7500, 0.2500], [0.2500, 0.7500, 0.7500], [0.5000, 0.0000, 0.5000], [0.5000, 0.5000, 0.0000], [0.7500, 0.2500, 0.2500], [0.7500, 0.2500, 0.7500], [0.7500, 0.7500, 0.2500], [0.7500, 0.7500, 0.7500], [0.0000, 0.0000, 0.5000], [0.0000, 0.5000, 0.0000], [0.5000, 0.0000, 0.0000], [0.5000, 0.5000, 0.5000]]
}

***

Record 2
{
  "formula": "CsSc2Os",
  "functional": "GGA-PBE",
  "state": "relaxed",
  "ef_ev_per_atom": 0.268,
  "crystal_system": "trigonal",
  "lattice": [[4.0171, 0.0000, 0.0000], [-2.0086, 3.4789, 0.0000], [0.0000, 0.0000, 30.7608]],
  "species": ["Cs", "Cs", "Cs", "Sc", "Sc", "Sc", "Sc", "Sc", "Sc", "Os", "Os", "Os"],
  "fractional_positions": [[0.0000, 0.0000, 0.0000], [0.3333, 0.6667, 0.6667], [0.6667, 0.3333, 0.3333], [0.0000, 0.0000, 0.1276], [0.0000, 0.0000, 0.8724], [0.3333, 0.6667, 0.5391], [0.3333, 0.6667, 0.7942], [0.6667, 0.3333, 0.2058], [0.6667, 0.3333, 0.4609], [0.0000, 0.0000, 0.5000], [0.3333, 0.6667, 0.1667], [0.6667, 0.3333, 0.8333]]
}

***

Record 3
{
  "formula": "CaTm2Tl3Se6",
  "functional": "GGA-PBE",
  "state": "relaxed",
  "final_energy_ev_per_cell": -54.2,
  "crystal_system": "monoclinic",
  "lattice": [[3.6437, -6.3120, 0.0000], [3.6437, 6.3120, 0.0000], [-2.4298, 0.0000, 7.4863]],
  "species": ["Ca", "Tm", "Tm", "Tl", "Tl", "Tl", "Se", "Se", "Se", "Se", "Se", "Se"],
  "fractional_positions": [[0.0000, 0.0000, 0.0000], [0.3322, 0.6678, 0.0000], [0.6678, 0.3322, 0.0000], [0.1636, 0.8364, 0.5000], [0.5000, 0.5000, 0.5000], [0.8364, 0.1636, 0.5000], [0.0703, 0.4169, 0.2099], [0.2783, 0.2783, 0.7945], [0.4169, 0.0703, 0.2099], [0.5831, 0.9297, 0.7901], [0.7217, 0.7217, 0.2055], [0.9297, 0.5831, 0.7901]]
}

***

| no. | theoretical density (g/cm³) |
| --- | --- |
| 1 | 8.1 |
| 2 | 4.8 |
| 3 | 7.1 |